# TcSnSb

A geometry-optimized TcSnSb structure (PBE, the Alexandria database).

Values from the calculation:
volume: 134.7 Å³/cell
energy relative to the lowest polymorph listed for this composition: 138 meV/atom
Fermi-level density of states: 3.6 states/eV per cell
formation energy without anion corrections: 0.250 eV per atom
crystal system: triclinic
SG: P1

abc: 5.4139 5.6968 5.6976
angles: 69.97 61.75 61.74
Positions (direct):
Tc 0.0000 0.0000 0.0000
Tc 0.4545 0.9992 0.9991
Sn 0.2249 0.6304 0.3735
Sn 0.7250 0.3559 0.6477
Sb 0.4842 0.0206 0.4656
Sb 0.9682 0.5321 0.9842

---

# TcSn2Sb2

A geometry-optimized TcSn2Sb2 structure (PBE, the Alexandria database).

Values from the calculation:
volume: 254.8 Å³/cell
energy relative to the lowest polymorph listed for this composition: 0 meV/atom
Fermi-level density of states: 6.1 states/eV per cell
formation energy without anion corrections: 0.289 eV per atom
crystal system: tetragonal
SG: P4/mbm

abc: 6.9353 6.9353 5.2982
angles: 90.00 90.00 90.00
Positions (direct):
Tc 0.0000 0.0000 0.0000
Tc 0.5000 0.5000 0.0000
Sn 0.1720 0.3280 0.5000
Sn 0.3280 0.8280 0.5000
Sn 0.6720 0.1720 0.5000
Sn 0.8280 0.6720 0.5000
Sb 0.1514 0.6514 0.0000
Sb 0.3486 0.1514 0.0000
Sb 0.6514 0.8486 0.0000
Sb 0.8486 0.3486 0.0000

---

# TcSn2Sb

A geometry-optimized TcSn2Sb structure (PBE, the Alexandria database).

Values from the calculation:
volume: 96.2 Å³/cell
Fermi-level density of states: 1.9 states/eV per cell
formation energy without anion corrections: 0.072 eV per atom
crystal system: orthorhombic
SG: Amm2

abc: 3.2133 6.7983 6.7983
angles: 40.38 90.00 90.00
Positions (direct):
Tc 0.0000 0.0000 0.0000
Sn 0.5000 0.4938 0.4938
Sn 0.5000 0.8169 0.8169
Sb 0.5000 0.1727 0.1727

---

# TcSnSb

A geometry-optimized TcSnSb structure (PBE, the Alexandria database).

Values from the calculation:
volume: 265.8 Å³/cell
energy relative to the lowest polymorph listed for this composition: 21 meV/atom
Fermi-level density of states: 9.4 states/eV per cell
formation energy without anion corrections: 0.133 eV per atom
crystal system: orthorhombic
SG: Pnma

abc: 6.2318 3.2330 13.1917
angles: 90.00 90.00 90.00
Positions (direct):
Tc 0.1849 0.2500 0.1323
Tc 0.3151 0.7500 0.6323
Tc 0.6849 0.2500 0.3677
Tc 0.8151 0.7500 0.8677
Sn 0.0254 0.2500 0.7308
Sn 0.4746 0.7500 0.2308
Sn 0.5254 0.2500 0.7692
Sn 0.9746 0.7500 0.2692
Sb 0.2157 0.7500 0.9664
Sb 0.2843 0.2500 0.4664
Sb 0.7157 0.7500 0.5336
Sb 0.7843 0.2500 0.0336

---

Q: The highest formation energy without anion corrections belongs to which entry?
A: TcSn2Sb2

---

Q: Which formula does entry 1 have?
A: TcSnSb